No. 1
The following is a GGA-PBE calculation of a geometry-optimized Ac6Ni3Ag structure, from the Alexandria database.

It has space group P2_1/m (No. 11), with a = 12.577 Å, b = 4.300 Å, c = 13.427 Å, α = 90.00°, β = 113.81° and γ = 90.00°. The asymmetric unit holds Ac at (0.044, 0.250, 0.389), Ac at (0.096, 0.750, 0.935), Ac at (0.241, 0.750, 0.264), Ac at (0.257, 0.250, 0.791), Ac at (0.415, 0.250, 0.570), Ac at (0.436, 0.250, 0.115), Ni at (0.014, 0.250, 0.776), Ni at (0.343, 0.750, 0.953), Ni at (0.411, 0.250, 0.342) and Ag at (0.212, 0.750, 0.579).

For the magnetization, the calculation gives 0.00 μB per cell. The volume comes out at 33.2 Å³ per atom. The formation energy is -17.2 kJ per mole of atoms.

---

No. 2
The following is a GGA-PBE calculation of a geometry-optimized TiNiBS2 structure, from the Alexandria database.

It has space group P4/mmm (No. 123), with a = 4.275 Å, b = 4.275 Å, c = 3.689 Å, α = 90.00°, β = 90.00° and γ = 90.00°. The asymmetric unit holds Ti at (0.000, 0.000, 0.000), Ni at (0.500, 0.500, 0.000), B at (0.500, 0.500, 0.500) and S at (0.000, 0.500, 0.500).

For the magnetization, the calculation gives 0.97 μB per cell. The volume comes out at 13.5 Å³ per atom. For the uncorrected formation energy, the calculation gives 110.2 kJ/mol of formula units.

---

No. 3
The following is a GGA-PBE calculation of a geometry-optimized TlP2WS structure, from the Alexandria database.

It has space group P4/mmm (No. 123), with a = 4.782 Å, b = 4.782 Å, c = 4.808 Å, α = 90.00°, β = 90.00° and γ = 90.00°. The asymmetric unit holds Tl at (0.000, 0.000, 0.000), P at (0.000, 0.500, 0.500), W at (0.500, 0.500, 0.500) and S at (0.500, 0.500, 0.000).

For the magnetization, the calculation gives 0.00 μB per cell. The volume comes out at 22.0 Å³ per atom. For the uncorrected formation energy, the calculation gives 99.0 kJ/mol of formula units.

---

No. 4
The following is a GGA-PBE calculation of a geometry-optimized MgFeMoOs structure, from the Alexandria database.

It has space group F-43m (No. 216), with a = 6.095 Å, b = 6.095 Å, c = 6.095 Å, α = 90.00°, β = 90.00° and γ = 90.00°. The asymmetric unit holds Mg at (0.000, 0.000, 0.000), Fe at (0.250, 0.250, 0.250), Mo at (0.000, 0.000, 0.500) and Os at (0.250, 0.250, 0.750).

For the magnetization, the calculation gives 0.00 μB per cell. The volume comes out at 14.1 Å³ per atom. The formation energy is 11.3 kJ per mole of atoms.

---

No. 5
The following is a GGA-PBE calculation of a geometry-optimized Sm8Bi3Te4As structure, from the Alexandria database.

It has space group R-3m (No. 166, hexagonal axes), with a = 8.9425 Å, b = 8.9425 Å, c = 21.8359 Å, α = 90.00°, β = 90.00° and γ = 120.00°. The asymmetric unit holds Sm at (0.0000, 0.0000, 0.2497), Sm at (0.0174, 0.5087, 0.2455), Bi at (0.0000, 0.5000, 0.5000), Te at (0.0000, 0.0000, 0.0000), Te at (0.0000, 0.5000, 0.0000) and As at (0.0000, 0.0000, 0.5000).

For the magnetization, the calculation gives 0.00 μB per cell. The volume comes out at 31.5 Å³ per atom. For the uncorrected formation energy, the calculation gives -1931.1 kJ/mol of formula units.

---

No. 6
The following is a GGA-PBE calculation of a geometry-optimized SrLaMn structure, from the Alexandria database.

It has space group I4mm (No. 107), with a = 3.811 Å, b = 3.811 Å, c = 13.951 Å, α = 90.00°, β = 90.00° and γ = 90.00°. The asymmetric unit holds Sr at (0.000, 0.000, 0.000), La at (0.000, 0.000, 0.731) and Mn at (0.000, 0.000, 0.348).

For the magnetization, the calculation gives 6.64 μB per cell. The volume comes out at 33.8 Å³ per atom. The formation energy is 31.2 kJ per mole of atoms.

---

No. 7
The following is a GGA-PBE calculation of a geometry-optimized Tb3Pm6Pr2Tm structure, from the Alexandria database.

It has space group C2/m (No. 12), with a = 6.282 Å, b = 10.877 Å, c = 12.011 Å, α = 90.00°, β = 100.05° and γ = 90.00°. The asymmetric unit holds Tb at (0.000, 0.000, 0.000), Tb at (0.000, 0.334, 0.000), Pm at (0.248, 0.500, 0.247), Pm at (0.250, 0.166, 0.248), Pr at (0.000, 0.167, 0.500) and Tm at (0.000, 0.500, 0.500).

For the magnetization, the calculation gives 0.00 μB per cell. The volume comes out at 33.7 Å³ per atom. The formation energy is 1.4 kJ per mole of atoms.

---

No. 8
The following is a GGA-PBE calculation of a geometry-optimized LiZr2TiH structure, from the Alexandria database.

It has space group P4/mmm (No. 123), with a = 4.462 Å, b = 4.462 Å, c = 4.055 Å, α = 90.00°, β = 90.00° and γ = 90.00°. The asymmetric unit holds Li at (0.000, 0.000, 0.000), Zr at (0.000, 0.500, 0.500), Ti at (0.500, 0.500, 0.000) and H at (0.500, 0.500, 0.500).

For the magnetization, the calculation gives 0.00 μB per cell. As for the calculated total energy: -30.15 eV/cell. The volume comes out at 16.1 Å³ per atom.

---

No. 9
The following is a GGA-PBE calculation of a geometry-optimized NaLi2CeO4 structure, from the Alexandria database.

It has space group I-42m (No. 121), with a = 5.458 Å, b = 5.458 Å, c = 6.800 Å, α = 90.00°, β = 90.00° and γ = 90.00°. The asymmetric unit holds Na at (0.000, 0.000, 0.000), Li at (0.000, 0.500, 0.250), Ce at (0.000, 0.000, 0.500) and O at (0.233, 0.233, 0.668).

For the magnetization, the calculation gives 2.08 μB per cell. The volume comes out at 12.7 Å³ per atom. For the uncorrected formation energy, the calculation gives -1611.9 kJ/mol of formula units.

---

No. 10
The following is a GGA-PBE calculation of a geometry-optimized AlSb2P structure, from the Alexandria database.

It has space group Imm2 (No. 44), with a = 3.424 Å, b = 3.855 Å, c = 14.278 Å, α = 90.00°, β = 90.00° and γ = 90.00°. The asymmetric unit holds Al at (0.000, 0.000, 0.000), Sb at (0.000, 0.000, 0.599), Sb at (0.000, 0.500, 0.790) and P at (0.000, 0.500, 0.373).

For the magnetization, the calculation gives 0.00 μB per cell. The volume comes out at 23.6 Å³ per atom. For the uncorrected formation energy, the calculation gives 61.8 kJ/mol of formula units.

---

No. 11
The following is a GGA-PBE calculation of a geometry-optimized KZn2I2 structure, from the Alexandria database.

It has space group I4/mmm (No. 139), with a = 4.056 Å, b = 4.056 Å, c = 19.592 Å, α = 90.00°, β = 90.00° and γ = 90.00°. The asymmetric unit holds K at (0.000, 0.000, 0.000), Zn at (0.000, 0.500, 0.250) and I at (0.000, 0.000, 0.390).

For the magnetization, the calculation gives 0.00 μB per cell. The volume comes out at 32.2 Å³ per atom. For the uncorrected formation energy, the calculation gives -191.1 kJ/mol of formula units.

---

> Number 10 is which compound?

AlSb2P